A) The following is a PBE calculation of a relaxed structure of SnTe3Pb, from Alexandria via LeMat-Bulk.

Computed properties:
V = 41.97 Å³/atom

Cell: 7.648 5.108 10.970 Å, 90.00 101.66 90.00°
Sites, in units of the cell vectors:
Sn1 0.098 0.250 0.139
Sn2 0.902 0.750 0.861
Te1 0.065 0.750 0.653
Te2 0.231 0.750 0.061
Te3 0.466 0.250 0.319
Te4 0.534 0.750 0.681
Te5 0.769 0.250 0.939
Te6 0.935 0.250 0.347
Pb1 0.300 0.250 0.563
Pb2 0.700 0.750 0.437

***

B) The following is a PBE calculation of a relaxed structure of SnTe3Pb, from Alexandria via LeMat-Bulk.

Computed properties:
V = 39.51 Å³/atom

Cell: 5.824 5.824 5.824 Å, 90.00 90.00 90.00°
Sites, in units of the cell vectors:
Sn1 0.000 0.000 0.000
Te1 0.000 0.500 0.500
Te2 0.500 0.000 0.500
Te3 0.500 0.500 0.000
Pb1 0.500 0.500 0.500

***

C) The following is a PBE calculation of a relaxed structure of SnTe3Pb, from Alexandria via LeMat-Bulk.

Computed properties:
V = 37.13 Å³/atom

Cell: 5.705 5.705 5.705 Å, 90.00 90.00 90.00°
Sites, in units of the cell vectors:
Sn1 0.000 0.000 0.000
Te1 0.000 0.000 0.500
Te2 0.000 0.500 0.000
Te3 0.500 0.000 0.000
Pb1 0.500 0.500 0.500

***

In order of decreasing stability: A), C), B).

***

A) The following is a PBE calculation of a relaxed structure of ThSnPb, from Alexandria via LeMat-Bulk.

Computed properties:
V = 30.50 Å³/atom

Cell: 4.586 4.586 8.704 Å, 90.00 90.00 90.00°
Sites, in units of the cell vectors:
Th1 0.250 0.250 0.183
Th2 0.750 0.750 0.817
Sn1 0.250 0.250 0.820
Sn2 0.750 0.750 0.180
Pb1 0.250 0.750 0.500
Pb2 0.750 0.250 0.500

***

B) The following is a PBE calculation of a relaxed structure of ThSnPb, from Alexandria via LeMat-Bulk.

Computed properties:
V = 29.24 Å³/atom

Cell: 5.472 5.472 3.383 Å, 90.00 90.00 120.00°
Sites, in units of the cell vectors:
Th1 0.000 0.000 0.000
Sn1 0.333 0.667 0.503
Pb1 0.667 0.333 0.499

***

C) The following is a PBE calculation of a relaxed structure of ThSnPb, from Alexandria via LeMat-Bulk.

Computed properties:
V = 28.92 Å³/atom

Cell: 6.151 6.151 6.151 Å, 142.21 142.21 54.51°
Sites, in units of the cell vectors:
Th1 0.000 0.000 0.000
Sn1 0.324 0.324 0.000
Pb1 0.687 0.687 0.000

***

D) The following is a PBE calculation of a relaxed structure of ThSnPb, from Alexandria via LeMat-Bulk.

Computed properties:
V = 29.41 Å³/atom

Cell: 8.820 8.820 4.479 Å, 90.00 90.00 149.57°
Sites, in units of the cell vectors:
Th1 0.097 0.903 0.750
Th2 0.903 0.097 0.250
Sn1 0.437 0.563 0.750
Sn2 0.563 0.437 0.250
Pb1 0.251 0.749 0.250
Pb2 0.749 0.251 0.750

***

In order of decreasing stability: D), A), C), B).

***

A) The following is a PBE calculation of a relaxed structure of ThSn2Pb, from Alexandria via LeMat-Bulk.

Computed properties:
V = 27.77 Å³/atom

Cell: 4.831 4.831 4.760 Å, 90.00 90.00 90.00°
Sites, in units of the cell vectors:
Th1 0.000 0.000 0.000
Sn1 0.000 0.500 0.500
Sn2 0.500 0.000 0.500
Pb1 0.500 0.500 0.000

***

B) The following is a PBE calculation of a relaxed structure of ThSn2Pb, from Alexandria via LeMat-Bulk.

Computed properties:
V = 28.80 Å³/atom

Cell: 4.169 4.169 6.627 Å, 90.00 90.00 90.00°
Sites, in units of the cell vectors:
Th1 0.000 0.000 0.000
Sn1 0.500 0.500 0.252
Sn2 0.500 0.500 0.748
Pb1 0.000 0.000 0.500

***

C) The following is a PBE calculation of a relaxed structure of ThSn2Pb, from Alexandria via LeMat-Bulk.

Computed properties:
V = 29.43 Å³/atom

Cell: 5.501 5.501 5.501 Å, 60.00 60.00 60.00°
Sites, in units of the cell vectors:
Th1 0.000 0.000 0.000
Sn1 0.250 0.250 0.250
Sn2 0.750 0.750 0.750
Pb1 0.500 0.500 0.500

***

In order of decreasing stability: A), B), C).

***

A) The following is a PBE calculation of a relaxed structure of Ti2Sn2Pb, from Alexandria via LeMat-Bulk.

Computed properties:
V = 23.04 Å³/atom

Cell: 8.632 8.632 3.092 Å, 90.00 90.00 90.00°
Sites, in units of the cell vectors:
Ti1 0.119 0.381 0.000
Ti2 0.381 0.881 0.000
Ti3 0.619 0.119 0.000
Ti4 0.881 0.619 0.000
Sn1 0.169 0.669 0.500
Sn2 0.331 0.169 0.500
Sn3 0.669 0.831 0.500
Sn4 0.831 0.331 0.500
Pb1 0.000 0.000 0.500
Pb2 0.500 0.500 0.500

***

B) The following is a PBE calculation of a relaxed structure of Ti2Sn2Pb, from Alexandria via LeMat-Bulk.

Computed properties:
V = 21.94 Å³/atom

Cell: 7.386 7.386 4.021 Å, 90.00 90.00 90.00°
Sites, in units of the cell vectors:
Ti1 0.138 0.362 0.000
Ti2 0.362 0.862 0.000
Ti3 0.638 0.138 0.000
Ti4 0.862 0.638 0.000
Sn1 0.160 0.660 0.500
Sn2 0.340 0.160 0.500
Sn3 0.660 0.840 0.500
Sn4 0.840 0.340 0.500
Pb1 0.000 0.000 0.000
Pb2 0.500 0.500 0.000

***

In order of decreasing stability: B), A).

***

A) The following is a PBE calculation of a relaxed structure of Ti2SnPb, from Alexandria via LeMat-Bulk.

Computed properties:
V = 20.86 Å³/atom

Cell: 9.546 9.546 9.546 Å, 19.34 19.34 19.34°
Sites, in units of the cell vectors:
Ti1 0.000 0.000 0.000
Ti2 0.169 0.169 0.169
Sn1 0.585 0.585 0.585
Pb1 0.751 0.751 0.751

***

B) The following is a PBE calculation of a relaxed structure of Ti2SnPb, from Alexandria via LeMat-Bulk.

Computed properties:
V = 20.49 Å³/atom

Cell: 4.876 4.876 4.876 Å, 60.00 60.00 60.00°
Sites, in units of the cell vectors:
Ti1 0.250 0.250 0.250
Ti2 0.750 0.750 0.750
Sn1 0.000 0.000 0.000
Pb1 0.500 0.500 0.500

***

C) The following is a PBE calculation of a relaxed structure of Ti2SnPb, from Alexandria via LeMat-Bulk.

Computed properties:
V = 22.23 Å³/atom

Cell: 6.198 6.198 6.198 Å, 104.11 104.11 120.82°
Sites, in units of the cell vectors:
Ti1 0.120 0.625 0.995
Ti2 0.375 0.370 0.495
Ti3 0.630 0.125 0.005
Ti4 0.875 0.880 0.505
Sn1 0.000 0.000 0.000
Sn2 0.750 0.250 0.500
Pb1 0.250 0.750 0.500
Pb2 0.500 0.500 0.000

***

In order of decreasing stability: A), B), C).

***

A) The following is a PBE calculation of a relaxed structure of Ti4SnPb, from Alexandria via LeMat-Bulk.

Computed properties:
V = 19.11 Å³/atom

Cell: 8.112 19.077 2.963 Å, 90.00 90.00 90.00°
Sites, in units of the cell vectors:
Ti1 0.059 0.188 0.000
Ti2 0.064 0.436 0.000
Ti3 0.220 0.306 0.000
Ti4 0.229 0.060 0.000
Ti5 0.271 0.560 0.000
Ti6 0.280 0.806 0.000
Ti7 0.436 0.936 0.000
Ti8 0.441 0.688 0.000
Ti9 0.559 0.312 0.000
Ti10 0.564 0.064 0.000
Ti11 0.720 0.194 0.000
Ti12 0.729 0.440 0.000
Ti13 0.771 0.940 0.000
Ti14 0.780 0.694 0.000
Ti15 0.936 0.564 0.000
Ti16 0.941 0.812 0.000
Sn1 0.110 0.685 0.500
Sn2 0.390 0.185 0.500
Sn3 0.610 0.815 0.500
Sn4 0.890 0.315 0.500
Pb1 0.113 0.926 0.500
Pb2 0.387 0.426 0.500
Pb3 0.613 0.574 0.500
Pb4 0.887 0.074 0.500

***

B) The following is a PBE calculation of a relaxed structure of Ti4SnPb, from Alexandria via LeMat-Bulk.

Computed properties:
V = 19.42 Å³/atom

Cell: 4.605 5.727 8.837 Å, 90.00 90.00 90.00°
Sites, in units of the cell vectors:
Ti1 0.250 0.013 0.241
Ti2 0.250 0.487 0.241
Ti3 0.250 0.750 0.616
Ti4 0.250 0.750 0.917
Ti5 0.750 0.250 0.083
Ti6 0.750 0.250 0.384
Ti7 0.750 0.513 0.759
Ti8 0.750 0.987 0.759
Sn1 0.250 0.250 0.916
Sn2 0.750 0.750 0.084
Pb1 0.250 0.250 0.570
Pb2 0.750 0.750 0.430

***

In order of decreasing stability: B), A).

***

A) The following is a PBE calculation of a relaxed structure of TiSnPb3, from Alexandria via LeMat-Bulk.

Computed properties:
V = 32.23 Å³/atom

Cell: 5.442 5.442 5.442 Å, 90.00 90.00 90.00°
Sites, in units of the cell vectors:
Ti1 0.000 0.000 0.000
Sn1 0.500 0.500 0.500
Pb1 0.000 0.000 0.500
Pb2 0.000 0.500 0.000
Pb3 0.500 0.000 0.000

***

B) The following is a PBE calculation of a relaxed structure of TiSnPb3, from Alexandria via LeMat-Bulk.

Computed properties:
V = 37.38 Å³/atom

Cell: 5.717 5.717 5.717 Å, 90.00 90.00 90.00°
Sites, in units of the cell vectors:
Ti1 0.000 0.000 0.000
Sn1 0.500 0.500 0.500
Pb1 0.000 0.500 0.500
Pb2 0.500 0.000 0.500
Pb3 0.500 0.500 0.000

***

In order of decreasing stability: A), B).

***

A) The following is a PBE calculation of a relaxed structure of TlSn3Pb7, from Alexandria via LeMat-Bulk.

Computed properties:
V = 31.16 Å³/atom

Cell: 13.986 13.986 14.015 Å, 90.00 90.00 165.52°
Sites, in units of the cell vectors:
Tl1 0.100 0.900 0.750
Tl2 0.900 0.100 0.250
Sn1 0.081 0.919 0.039
Sn2 0.081 0.919 0.461
Sn3 0.221 0.779 0.750
Sn4 0.779 0.221 0.250
Sn5 0.919 0.081 0.539
Sn6 0.919 0.081 0.961
Pb1 0.200 0.800 0.123
Pb2 0.200 0.800 0.377
Pb3 0.331 0.669 0.075
Pb4 0.331 0.669 0.425
Pb5 0.395 0.605 0.750
Pb6 0.489 0.511 0.121
Pb7 0.489 0.511 0.379
Pb8 0.511 0.489 0.621
Pb9 0.511 0.489 0.879
Pb10 0.605 0.395 0.250
Pb11 0.669 0.331 0.575
Pb12 0.669 0.331 0.925
Pb13 0.800 0.200 0.623
Pb14 0.800 0.200 0.877

***

B) The following is a PBE calculation of a relaxed structure of TlSn3Pb7, from Alexandria via LeMat-Bulk.

Computed properties:
V = 31.91 Å³/atom

Cell: 7.142 7.142 7.947 Å, 90.00 90.00 120.00°
Sites, in units of the cell vectors:
Tl1 0.000 0.000 0.000
Sn1 0.154 0.308 0.353
Sn2 0.154 0.846 0.353
Sn3 0.692 0.846 0.353
Pb1 0.333 0.667 0.686
Pb2 0.353 0.176 0.671
Pb3 0.503 0.007 0.046
Pb4 0.503 0.497 0.046
Pb5 0.824 0.176 0.671
Pb6 0.824 0.647 0.671
Pb7 0.993 0.497 0.046

***

In order of decreasing stability: A), B).

***

A) The following is a PBE calculation of a relaxed structure of Tl5SnPb, from Alexandria via LeMat-Bulk.

Computed properties:
V = 32.76 Å³/atom

Cell: 5.181 5.181 8.543 Å, 90.00 90.00 90.00°
Sites, in units of the cell vectors:
Tl1 0.000 0.000 0.000
Tl2 0.000 0.500 0.261
Tl3 0.000 0.500 0.739
Tl4 0.500 0.000 0.261
Tl5 0.500 0.000 0.739
Sn1 0.500 0.500 0.000
Pb1 0.500 0.500 0.500

***

B) The following is a PBE calculation of a relaxed structure of Tl5SnPb, from Alexandria via LeMat-Bulk.

Computed properties:
V = 31.94 Å³/atom

Cell: 6.790 6.790 11.918 Å, 102.97 102.97 57.31°
Sites, in units of the cell vectors:
Tl1 0.100 0.204 0.530
Tl2 0.172 0.355 0.815
Tl3 0.201 0.799 0.750
Tl4 0.204 0.100 0.030
Tl5 0.355 0.172 0.315
Tl6 0.645 0.828 0.685
Tl7 0.796 0.900 0.970
Tl8 0.799 0.201 0.250
Tl9 0.828 0.645 0.185
Tl10 0.900 0.796 0.470
Sn1 0.500 0.500 0.000
Sn2 0.500 0.500 0.500
Pb1 0.297 0.703 0.250
Pb2 0.703 0.297 0.750

***

In order of decreasing stability: B), A).